No. 1
{
  "formula": "AgSeO3",
  "functional": "PBE",
  "state": "optimized geometry",
  "lattice": [[-1.689, 2.818, -2.003], [-2.284, -2.583, -1.708], [-2.596, 0.440, 2.806]],
  "species": ["O", "O", "Ag", "Se", "O"],
  "fractional_positions": [[0.000, 0.500, 0.000], [0.000, 0.000, 0.500], [0.500, 0.500, 0.500], [0.000, 0.000, 0.000], [0.500, 0.000, 0.000]],
  "density_g_cm3": 6.845,
  "e_form_raw_ev_per_atom": -0.03
}

No. 2
{
  "formula": "LaMoAs2",
  "functional": "PBE",
  "state": "optimized geometry",
  "lattice": [[9.049, -0.089, -0.052], [8.436, 3.275, -0.052], [8.436, 1.538, 2.893]],
  "species": ["As", "La", "Mo", "As"],
  "fractional_positions": [[0.014, 0.014, 0.014], [0.495, 0.495, 0.495], [0.739, 0.739, 0.739], [0.253, 0.253, 0.253]],
  "density_g_cm3": 7.143,
  "delta_e_f_ev_per_atom": 0.174
}

No. 3
{
  "formula": "Ta2MnNi6",
  "functional": "PBE",
  "state": "optimized geometry",
  "lattice": [[-1.382, -4.842, 2.097], [4.029, 0.075, 2.828], [-4.214, 1.925, 1.666]],
  "species": ["Ta", "Ni", "Ta", "Ni", "Ni", "Mn", "Ni", "Ni", "Ni"],
  "fractional_positions": [[0.629, 0.333, 0.667], [0.825, 0.827, 0.173], [0.371, 0.667, 0.333], [0.825, 0.827, 0.653], [0.175, 0.173, 0.827], [0.500, 0.000, 0.000], [0.825, 0.347, 0.173], [0.175, 0.173, 0.347], [0.175, 0.653, 0.827]],
  "density_g_cm3": 11.154,
  "delta_e_f_ev_per_atom": -0.136
}

No. 4
{
  "formula": "Ce2AlI",
  "functional": "PBE",
  "state": "optimized geometry",
  "lattice": [[3.620, 0.000, 0.000], [0.000, 3.620, 0.000], [0.000, 0.000, 8.390]],
  "species": ["Ce", "Al", "Ce", "I"],
  "fractional_positions": [[0.000, 0.000, 0.232], [0.500, 0.500, 0.000], [0.000, 0.000, 0.768], [0.500, 0.500, 0.500]],
  "density_g_cm3": 6.556,
  "e_form_raw_ev_per_atom": -0.47
}

No. 5
{
  "formula": "Mg8Tl3Cd2",
  "functional": "PBE",
  "state": "optimized geometry",
  "lattice": [[-2.783, -0.541, 4.630], [2.893, -6.506, 3.396], [4.412, 3.560, 5.485]],
  "species": ["Tl", "Mg", "Tl", "Mg", "Cd", "Mg", "Mg", "Mg", "Tl", "Mg", "Mg", "Mg", "Cd"],
  "fractional_positions": [[0.000, 0.247, 0.753], [0.320, 0.416, 0.934], [0.500, 0.000, 0.000], [0.066, 0.844, 0.844], [0.385, 0.305, 0.305], [0.934, 0.156, 0.156], [0.680, 0.066, 0.584], [0.680, 0.584, 0.066], [0.000, 0.753, 0.247], [0.320, 0.934, 0.416], [0.199, 0.572, 0.572], [0.801, 0.428, 0.428], [0.615, 0.695, 0.695]],
  "density_g_cm3": 5.460,
  "delta_e_f_ev_per_atom": -0.002
}

No. 6
{
  "formula": "FeBi2BCl",
  "functional": "PBE",
  "state": "optimized geometry",
  "lattice": [[-1.399, -4.597, 2.121], [-0.730, -1.449, -3.623], [4.970, -1.667, -0.335]],
  "species": ["Fe", "Cl", "Bi", "B", "Bi"],
  "fractional_positions": [[0.000, 0.500, 0.000], [0.500, 0.500, 0.500], [0.000, 0.000, 0.500], [0.000, 0.000, 0.000], [0.500, 0.000, 0.000]],
  "density_g_cm3": 7.885,
  "e_form_raw_ev_per_atom": 0.56
}

No. 7
{
  "formula": "CeHf2Pd",
  "functional": "PBE",
  "state": "optimized geometry",
  "lattice": [[-2.806, -2.510, -3.225], [2.133, -2.891, -3.416], [-0.367, -4.933, 0.348]],
  "species": ["Hf", "Ce", "Hf", "Pd"],
  "fractional_positions": [[0.250, 0.250, 0.250], [0.500, 0.500, 0.500], [0.000, 0.000, 0.000], [0.750, 0.750, 0.750]],
  "density_g_cm3": 11.627,
  "delta_e_f_ev_per_atom": -0.061
}

No. 8
{
  "formula": "BeZn2Si",
  "functional": "PBE",
  "state": "optimized geometry",
  "lattice": [[-1.515, 2.569, 3.153], [4.081, -3.404, 1.510], [2.307, 1.302, -0.424]],
  "species": ["Be", "Zn", "Zn", "Si"],
  "fractional_positions": [[0.000, 0.500, 0.500], [0.500, 0.000, 0.500], [0.000, 0.000, 0.000], [0.500, 0.500, 0.000]],
  "density_g_cm3": 5.005,
  "e_form_raw_ev_per_atom": 0.30
}

No. 9
{
  "formula": "Th2PaRe",
  "functional": "PBE",
  "state": "optimized geometry",
  "lattice": [[3.273, 0.000, 0.000], [1.637, 2.835, 0.000], [1.637, 0.945, 10.976]],
  "species": ["Pa", "Th", "Re", "Th"],
  "fractional_positions": [[0.000, 0.000, 0.000], [0.904, 0.904, 0.288], [0.500, 0.500, 0.500], [0.096, 0.096, 0.712]],
  "density_g_cm3": 14.368,
  "delta_e_f_ev_per_atom": 0.543
}

No. 10
{
  "formula": "CuTcTe",
  "functional": "PBE",
  "state": "optimized geometry",
  "lattice": [[7.112, -0.003, 0.002], [6.229, 2.884, -0.006], [0.883, -0.922, 2.736]],
  "species": ["Te", "Cu", "Tc"],
  "fractional_positions": [[0.318, 0.318, 0.682], [0.020, 0.020, 0.980], [0.662, 0.662, 0.338]],
  "density_g_cm3": 8.556,
  "e_form_raw_ev_per_atom": 0.74
}

No. 11
{
  "formula": "LuCu2Sn",
  "functional": "PBE",
  "state": "optimized geometry",
  "lattice": [[3.900, 0.000, 0.000], [0.000, 4.356, 0.000], [0.000, 0.000, 4.356]],
  "species": ["Sn", "Cu", "Cu", "Lu"],
  "fractional_positions": [[0.500, 0.000, 0.000], [0.000, 0.000, 0.500], [0.000, 0.500, 0.000], [0.500, 0.500, 0.500]],
  "density_g_cm3": 9.443,
  "delta_e_f_ev_per_atom": -0.222
}

No. 12
{
  "formula": "YBeZn2Pt",
  "functional": "PBE",
  "state": "optimized geometry",
  "lattice": [[-0.393, 0.138, -4.803], [2.190, -4.786, -0.317], [-4.368, -2.018, 0.299]],
  "species": ["Be", "Y", "Zn", "Pt", "Zn"],
  "fractional_positions": [[0.500, 0.500, 0.500], [0.000, 0.500, 0.000], [0.500, 0.000, 0.000], [0.000, 0.000, 0.000], [0.000, 0.000, 0.500]],
  "density_g_cm3": 5.743,
  "delta_e_f_ev_per_atom": 0.212
}

| no. | M_tot (μB per cell) |
| --- | --- |
| 1 | 0.00 |
| 2 | 0.00 |
| 3 | 3.64 |
| 4 | 2.44 |
| 5 | 0.00 |
| 6 | 2.50 |
| 7 | 0.51 |
| 8 | 0.00 |
| 9 | 0.00 |
| 10 | 0.00 |
| 11 | 0.00 |
| 12 | 0.00 |